Record 1
Here is a relaxed structure of TeSe2 from the Alexandria database. Energies are from GGA-PBE.

* offset from the most stable computed form: 0.2662 eV/atom
* electronic total energy: -3.12 eV/atom
* Fermi-level density of states: 4.0 states/eV/cell
* E_form (uncorrected): 0.251 eV/atom

Cell lengths 5.927, 5.927, 5.927 Å; angles 113.73, 113.73, 101.24 degrees
Element x y z (fractional)
Te1 0.250 0.250 0.000
Te2 0.750 0.750 0.000
Se1 0.131 0.631 0.763
Se2 0.369 0.131 0.500
Se3 0.631 0.869 0.500
Se4 0.869 0.369 0.237

***

Record 2
Here is a relaxed structure of Cs2IrS3 from the Alexandria database. Energies are from GGA-PBE.

* electronic total energy: -4.52 eV/atom
* Fermi-level density of states: 6.3 states/eV/cell
* E_form (uncorrected): -0.696 eV/atom

Cell lengths 7.661, 7.661, 6.837 Å; angles 95.31, 95.31, 71.96 degrees
Element x y z (fractional)
Cs1 0.003 0.314 0.196
Cs2 0.314 0.003 0.696
Cs3 0.686 0.997 0.304
Cs4 0.997 0.686 0.804
Ir1 0.432 0.568 0.250
Ir2 0.568 0.432 0.750
S1 0.174 0.826 0.250
S2 0.340 0.435 0.506
S3 0.435 0.340 0.006
S4 0.565 0.660 0.994
S5 0.660 0.565 0.494
S6 0.826 0.174 0.750

***

Record 3
Here is a relaxed structure of Y3BeRe from the Alexandria database. Energies are from GGA-PBE.

* energy of formation: 716 meV/atom
* offset from the most stable computed form: 0.0000 eV/atom
* electronic total energy: -6.40 eV/atom
* Fermi-level density of states: 6.0 states/eV/cell

Cell lengths 5.358, 5.358, 5.358 Å; angles 90.00, 90.00, 90.00 degrees
Element x y z (fractional)
Y1 0.000 0.000 0.500
Y2 0.000 0.500 0.000
Y3 0.500 0.000 0.000
Be1 0.500 0.500 0.500
Re1 0.000 0.000 0.000

***

Record 4
Here is a relaxed structure of TaMn2Os from the Alexandria database. Energies are from GGA-PBE.

* energy of formation: -89 meV/atom
* offset from the most stable computed form: 0.0000 eV/atom
* electronic total energy: -10.44 eV/atom
* Fermi-level density of states: 2.8 states/eV/cell

Cell lengths 3.113, 4.213, 4.320 Å; angles 90.00, 90.00, 90.00 degrees
Element x y z (fractional)
Ta1 0.000 0.000 0.000
Mn1 0.000 0.500 0.500
Mn2 0.500 0.500 0.000
Os1 0.500 0.000 0.500

***

Record 5
Here is a relaxed structure of TaCo4Pb from the Alexandria database. Energies are from GGA-PBE.

* energy of formation: 164 meV/atom
* electronic total energy: -7.17 eV/atom
* Fermi-level density of states: 9.1 states/eV/cell

Cell lengths 4.852, 4.852, 4.852 Å; angles 60.00, 60.00, 60.00 degrees
Element x y z (fractional)
Ta1 0.000 0.000 0.000
Co1 0.123 0.626 0.626
Co2 0.626 0.123 0.626
Co3 0.626 0.626 0.123
Co4 0.626 0.626 0.626
Pb1 0.250 0.250 0.250

***

Record 6
Here is a relaxed structure of CaInSi2 from the Alexandria database. Energies are from GGA-PBE.

* electronic total energy: -3.91 eV/atom
* Fermi-level density of states: 1.7 states/eV/cell
* E_form (uncorrected): -0.017 eV/atom

Cell lengths 4.499, 4.499, 4.114 Å; angles 90.00, 90.00, 90.00 degrees
Element x y z (fractional)
Ca1 0.000 0.000 0.000
In1 0.500 0.500 0.000
Si1 0.000 0.500 0.500
Si2 0.500 0.000 0.500

***

Record 7
Here is a relaxed structure of HfCdH2Pb from the Alexandria database. Energies are from GGA-PBE.

* electronic total energy: -3.60 eV/atom
* Fermi-level density of states: 2.9 states/eV/cell

Cell lengths 4.055, 4.055, 6.028 Å; angles 90.00, 90.00, 90.00 degrees
Element x y z (fractional)
Hf1 0.000 0.000 0.000
Cd1 0.000 0.000 0.500
H1 0.000 0.500 0.500
H2 0.500 0.000 0.500
Pb1 0.500 0.500 0.000

***

Record 8
Here is a relaxed structure of MgSN2O from the Alexandria database. Energies are from GGA-PBE.

* electronic total energy: -4.95 eV/atom
* Fermi-level density of states: 1.9 states/eV/cell
* E_form (uncorrected): 0.518 eV/atom

Cell lengths 3.343, 3.343, 4.301 Å; angles 90.00, 90.00, 90.00 degrees
Element x y z (fractional)
Mg1 0.000 0.000 0.000
S1 0.500 0.500 0.500
N1 0.000 0.500 0.500
N2 0.500 0.000 0.500
O1 0.500 0.500 0.000